Compound: TmNbPb
Source: the Alexandria database
Functional: PBE-GGA
Structure: relaxed

Results
**Total magnetization**: 0.0 μB/cell
**Calculated volume**: 158.4 Å³ per cell
**Formation enthalpy at 0 K**: 25.66 kJ per mole of atoms
**Calculated total energy**: -5.82 eV/atom
**Symmetry**: No. 129

Unit cell a=3.114 b=3.114 c=16.332 alpha=90.00 beta=90.00 gamma=90.00
Sites, in units of the cell vectors:
Tm  0.250  0.250  0.096
Tm  0.750  0.750  0.904
Nb  0.250  0.250  0.766
Nb  0.750  0.750  0.234
Pb  0.250  0.250  0.383
Pb  0.750  0.750  0.617



Compound: Nb2VPb2
Source: the Alexandria database
Functional: PBE-GGA
Structure: relaxed

Results
**Total magnetization**: 0.0 μB/cell
**Calculated volume**: 214.6 Å³ per cell
**Formation enthalpy at 0 K**: 57.06 kJ per mole of atoms
**Calculated total energy**: -6.74 eV/atom
**Symmetry**: No. 127

Unit cell a=6.719 b=6.719 c=4.754 alpha=90.00 beta=90.00 gamma=90.00
Sites, in units of the cell vectors:
Nb  0.150  0.350  0.000
Nb  0.350  0.850  0.000
Nb  0.650  0.150  0.000
Nb  0.850  0.650  0.000
V  0.000  0.000  0.000
V  0.500  0.500  0.000
Pb  0.173  0.673  0.500
Pb  0.327  0.173  0.500
Pb  0.673  0.827  0.500
Pb  0.827  0.327  0.500



Compound: Nb2VPb
Source: the Alexandria database
Functional: PBE-GGA
Structure: relaxed

Results
**Total magnetization**: 2.9 μB/cell
**Calculated volume**: 161.6 Å³ per cell
**Formation enthalpy at 0 K**: 71.46 kJ per mole of atoms
**Calculated total energy**: -7.50 eV/atom
**Symmetry**: No. 122

Unit cell a=10.608 b=10.608 c=10.608 alpha=158.41 beta=158.41 gamma=30.72
Sites, in units of the cell vectors:
Nb  0.118  0.625  0.993
Nb  0.375  0.368  0.493
Nb  0.632  0.125  0.007
Nb  0.875  0.882  0.507
V  0.000  0.000  0.000
V  0.750  0.250  0.500
Pb  0.250  0.750  0.500
Pb  0.500  0.500  0.000



Compound: NbVPb2
Source: the Alexandria database
Functional: PBE-GGA
Structure: relaxed

Results
**Total magnetization**: 3.8 μB/cell
**Calculated volume**: 183.7 Å³ per cell
**Formation enthalpy at 0 K**: 77.12 kJ per mole of atoms
**Calculated total energy**: -5.85 eV/atom
**Symmetry**: No. 122

Unit cell a=6.275 b=6.275 c=6.275 alpha=103.75 beta=103.75 gamma=121.65
Sites, in units of the cell vectors:
Nb  0.000  0.000  0.000
Nb  0.750  0.250  0.500
V  0.250  0.750  0.500
V  0.500  0.500  0.000
Pb  0.137  0.625  0.012
Pb  0.375  0.387  0.512
Pb  0.613  0.125  0.988
Pb  0.875  0.863  0.488



Compound: Nb2VPb2
Source: the Alexandria database
Functional: PBE-GGA
Structure: relaxed

Results
**Total magnetization**: 2.3 μB/cell
**Calculated volume**: 119.7 Å³ per cell
**Formation enthalpy at 0 K**: 97.37 kJ per mole of atoms
**Calculated total energy**: -6.33 eV/atom
**Symmetry**: No. 139

Unit cell a=7.399 b=7.399 c=7.399 alpha=146.99 beta=146.99 gamma=47.37
Sites, in units of the cell vectors:
Nb  0.086  0.086  0.000
Nb  0.914  0.914  0.000
V  0.500  0.500  0.000
Pb  0.250  0.750  0.500
Pb  0.750  0.250  0.500



Compound: Nb2VPb
Source: the Alexandria database
Functional: PBE-GGA
Structure: relaxed

Results
**Total magnetization**: 0.0 μB/cell
**Calculated volume**: 83.0 Å³ per cell
**Formation enthalpy at 0 K**: 55.55 kJ per mole of atoms
**Calculated total energy**: -7.67 eV/atom
**Symmetry**: No. 166

Unit cell a=9.888 b=9.888 c=9.888 alpha=18.27 beta=18.27 gamma=18.27
Sites, in units of the cell vectors:
Nb  0.101  0.101  0.101
Nb  0.899  0.899  0.899
V  0.500  0.500  0.500
Pb  0.000  0.000  0.000



Compound: NbVPb2
Source: the Alexandria database
Functional: PBE-GGA
Structure: relaxed

Results
**Total magnetization**: 0.6 μB/cell
**Calculated volume**: 85.0 Å³ per cell
**Formation enthalpy at 0 K**: 53.15 kJ per mole of atoms
**Calculated total energy**: -6.10 eV/atom
**Symmetry**: No. 225

Unit cell a=4.935 b=4.935 c=4.935 alpha=60.00 beta=60.00 gamma=60.00
Sites, in units of the cell vectors:
Nb  0.000  0.000  0.000
V  0.500  0.500  0.500
Pb  0.250  0.250  0.250
Pb  0.750  0.750  0.750



Compound: Nb2PbW
Source: the Alexandria database
Functional: PBE-GGA
Structure: relaxed

Results
**Total magnetization**: 0.0 μB/cell
**Calculated volume**: 170.0 Å³ per cell
**Formation enthalpy at 0 K**: 83.85 kJ per mole of atoms
**Calculated total energy**: -8.33 eV/atom
**Symmetry**: No. 122

Unit cell a=6.166 b=6.166 c=6.166 alpha=102.21 beta=102.21 gamma=125.24
Sites, in units of the cell vectors:
Nb  0.077  0.625  0.952
Nb  0.375  0.327  0.452
Nb  0.673  0.125  0.048
Nb  0.875  0.923  0.548
Pb  0.250  0.750  0.500
Pb  0.500  0.500  0.000
W  0.000  0.000  0.000
W  0.750  0.250  0.500



Compound: NbPb3W
Source: the Alexandria database
Functional: PBE-GGA
Structure: relaxed

Results
**Total magnetization**: 4.6 μB/cell
**Calculated volume**: 156.5 Å³ per cell
**Formation enthalpy at 0 K**: 137.68 kJ per mole of atoms
**Calculated total energy**: -5.40 eV/atom
**Symmetry**: No. 221

Unit cell a=5.389 b=5.389 c=5.389 alpha=90.00 beta=90.00 gamma=90.00
Sites, in units of the cell vectors:
Nb  0.000  0.000  0.000
Pb  0.000  0.500  0.500
Pb  0.500  0.000  0.500
Pb  0.500  0.500  0.000
W  0.500  0.500  0.500



Compound: NbPbW2
Source: the Alexandria database
Functional: PBE-GGA
Structure: relaxed

Results
**Total magnetization**: 0.0 μB/cell
**Calculated volume**: 161.6 Å³ per cell
**Formation enthalpy at 0 K**: 110.55 kJ per mole of atoms
**Calculated total energy**: -8.78 eV/atom
**Symmetry**: No. 122

Unit cell a=10.557 b=10.557 c=10.557 alpha=158.24 beta=158.24 gamma=30.97
Sites, in units of the cell vectors:
Nb  0.000  0.000  0.000
Nb  0.750  0.250  0.500
Pb  0.250  0.750  0.500
Pb  0.500  0.500  0.000
W  0.089  0.625  0.964
W  0.375  0.339  0.464
W  0.661  0.125  0.036
W  0.875  0.911  0.536



Compound: Y2NbPb
Source: the Alexandria database
Functional: PBE-GGA
Structure: relaxed

Results
**Total magnetization**: 0.0 μB/cell
**Calculated volume**: 216.5 Å³ per cell
**Formation enthalpy at 0 K**: 42.44 kJ per mole of atoms
**Calculated total energy**: -6.24 eV/atom
**Symmetry**: No. 122

Unit cell a=6.666 b=6.666 c=6.666 alpha=102.64 beta=102.64 gamma=124.23
Sites, in units of the cell vectors:
Y  0.111  0.125  0.486
Y  0.375  0.889  0.014
Y  0.639  0.625  0.514
Y  0.875  0.361  0.986
Nb  0.000  0.000  0.000
Nb  0.750  0.250  0.500
Pb  0.250  0.750  0.500
Pb  0.500  0.500  0.000



Compound: Y2NbPb2
Source: the Alexandria database
Functional: PBE-GGA
Structure: relaxed

Results
**Total magnetization**: 2.6 μB/cell
**Calculated volume**: 266.4 Å³ per cell
**Formation enthalpy at 0 K**: -15.59 kJ per mole of atoms
**Calculated total energy**: -6.24 eV/atom
**Symmetry**: No. 127

Unit cell a=7.764 b=7.764 c=4.420 alpha=90.00 beta=90.00 gamma=90.00
Sites, in units of the cell vectors:
Y  0.169  0.331  0.000
Y  0.331  0.831  0.000
Y  0.669  0.169  0.000
Y  0.831  0.669  0.000
Nb  0.000  0.000  0.500
Nb  0.500  0.500  0.500
Pb  0.142  0.642  0.500
Pb  0.358  0.142  0.500
Pb  0.642  0.858  0.500
Pb  0.858  0.358  0.500



Compound: YNb3Pb
Source: the Alexandria database
Functional: PBE-GGA
Structure: relaxed

Results
**Total magnetization**: 0.0 μB/cell
**Calculated volume**: 125.1 Å³ per cell
**Formation enthalpy at 0 K**: 176.96 kJ per mole of atoms
**Calculated total energy**: -6.24 eV/atom
**Symmetry**: No. 221

Unit cell a=5.002 b=5.002 c=5.002 alpha=90.00 beta=90.00 gamma=90.00
Sites, in units of the cell vectors:
Y  0.000  0.000  0.000
Nb  0.000  0.000  0.500
Nb  0.000  0.500  0.000
Nb  0.500  0.000  0.000
Pb  0.500  0.500  0.500



Compound: YNb2Pb
Source: the Alexandria database
Functional: PBE-GGA
Structure: relaxed

Results
**Total magnetization**: 0.0 μB/cell
**Calculated volume**: 86.5 Å³ per cell
**Formation enthalpy at 0 K**: 45.71 kJ per mole of atoms
**Calculated total energy**: -7.10 eV/atom
**Symmetry**: No. 225

Unit cell a=4.964 b=4.964 c=4.964 alpha=60.00 beta=60.00 gamma=60.00
Sites, in units of the cell vectors:
Y  0.000  0.000  0.000
Nb  0.250  0.250  0.250
Nb  0.750  0.750  0.750
Pb  0.500  0.500  0.500



Compound: YNbPb3
Source: the Alexandria database
Functional: PBE-GGA
Structure: relaxed

Results
**Total magnetization**: 0.0 μB/cell
**Calculated volume**: 164.1 Å³ per cell
**Formation enthalpy at 0 K**: 41.25 kJ per mole of atoms
**Calculated total energy**: -5.10 eV/atom
**Symmetry**: No. 221

Unit cell a=5.475 b=5.475 c=5.475 alpha=90.00 beta=90.00 gamma=90.00
Sites, in units of the cell vectors:
Y  0.000  0.000  0.000
Nb  0.500  0.500  0.500
Pb  0.000  0.500  0.500
Pb  0.500  0.000  0.500
Pb  0.500  0.500  0.000



Compound: Y2NbPb
Source: the Alexandria database
Functional: PBE-GGA
Structure: relaxed

Results
**Total magnetization**: 1.3 μB/cell
**Calculated volume**: 102.9 Å³ per cell
**Formation enthalpy at 0 K**: 6.97 kJ per mole of atoms
**Calculated total energy**: -6.60 eV/atom
**Symmetry**: No. 225

Unit cell a=5.260 b=5.260 c=5.260 alpha=60.00 beta=60.00 gamma=60.00
Sites, in units of the cell vectors:
Y  0.250  0.250  0.250
Y  0.750  0.750  0.750
Nb  0.000  0.000  0.000
Pb  0.500  0.500  0.500



Compound: YNb3Pb
Source: the Alexandria database
Functional: PBE-GGA
Structure: relaxed

Results
**Total magnetization**: 0.0 μB/cell
**Calculated volume**: 140.3 Å³ per cell
**Formation enthalpy at 0 K**: 147.44 kJ per mole of atoms
**Calculated total energy**: -6.55 eV/atom
**Symmetry**: No. 221

Unit cell a=5.196 b=5.196 c=5.196 alpha=90.00 beta=90.00 gamma=90.00
Sites, in units of the cell vectors:
Y  0.000  0.000  0.000
Nb  0.000  0.500  0.500
Nb  0.500  0.000  0.500
Nb  0.500  0.500  0.000
Pb  0.500  0.500  0.500



Compound: YNb2Pb
Source: the Alexandria database
Functional: PBE-GGA
Structure: relaxed

Results
**Total magnetization**: 0.0 μB/cell
**Calculated volume**: 196.9 Å³ per cell
**Formation enthalpy at 0 K**: 70.34 kJ per mole of atoms
**Calculated total energy**: -6.85 eV/atom
**Symmetry**: No. 122

Unit cell a=6.498 b=6.498 c=6.498 alpha=101.68 beta=101.68 gamma=126.53
Sites, in units of the cell vectors:
Y  0.000  0.000  0.000
Y  0.750  0.250  0.500
Nb  0.153  0.625  0.028
Nb  0.375  0.403  0.528
Nb  0.597  0.125  0.972
Nb  0.875  0.847  0.472
Pb  0.250  0.750  0.500
Pb  0.500  0.500  0.000



Compound: Nb2ZnPb
Source: the Alexandria database
Functional: PBE-GGA
Structure: relaxed

Results
**Total magnetization**: 0.0 μB/cell
**Calculated volume**: 165.1 Å³ per cell
**Formation enthalpy at 0 K**: 49.37 kJ per mole of atoms
**Calculated total energy**: -5.77 eV/atom
**Symmetry**: No. 122

Unit cell a=10.678 b=10.678 c=10.678 alpha=158.38 beta=158.38 gamma=30.76
Sites, in units of the cell vectors:
Nb  0.119  0.625  0.994
Nb  0.375  0.369  0.494
Nb  0.631  0.125  0.006
Nb  0.875  0.881  0.506
Zn  0.000  0.000  0.000
Zn  0.750  0.250  0.500
Pb  0.250  0.750  0.500
Pb  0.500  0.500  0.000



Compound: NbZnPb3
Source: the Alexandria database
Functional: PBE-GGA
Structure: relaxed

Results
**Total magnetization**: 0.0 μB/cell
**Calculated volume**: 169.0 Å³ per cell
**Formation enthalpy at 0 K**: 46.58 kJ per mole of atoms
**Calculated total energy**: -4.01 eV/atom
**Symmetry**: No. 221

Unit cell a=5.528 b=5.528 c=5.528 alpha=90.00 beta=90.00 gamma=90.00
Sites, in units of the cell vectors:
Nb  0.000  0.000  0.000
Zn  0.500  0.500  0.500
Pb  0.000  0.000  0.500
Pb  0.000  0.500  0.000
Pb  0.500  0.000  0.000